1.
Compound: LaHoIn2
Source: Alexandria via LeMat-Bulk
Functional: PBE
Structure: optimized geometry

Unit cell a=3.757 b=3.757 c=10.219 alpha=79.41 beta=79.41 gamma=60.00
Atoms (fractional coordinates):
La: 0.500 0.500 0.500
Ho: 0.000 0.000 0.000
In: 0.254 0.254 0.238
In: 0.746 0.746 0.762

Properties
For the density of states at the Fermi level, the calculation gives 2.83 states/eV/cell. As for the calculated formation energy: -0.304 eV/atom. For the total moment, the calculation gives 0.000 Bohr magnetons per cell.


2.
Compound: Sc4In3Cu
Source: Alexandria via LeMat-Bulk
Functional: PBE
Structure: optimized geometry

Unit cell a=3.305 b=3.305 c=15.634 alpha=90.00 beta=90.00 gamma=90.00
Last column: magnetic moment on the atom in μB.
Atoms (fractional coordinates):
Sc: 0.000 0.000 0.367  0.20
Sc: 0.000 0.000 0.898  -0.04
Cu: 0.500 0.500 0.000  0.00
Sc: 0.000 0.000 0.102  -0.04
In: 0.500 0.500 0.234  0.00
In: 0.500 0.500 0.766  0.00
In: 0.500 0.500 0.500  -0.01
Sc: 0.000 0.000 0.633  0.20

Properties
For the density of states at the Fermi level, the calculation gives 4.09 states/eV/cell. As for the calculated formation energy: -0.402 eV/atom. For the total moment, the calculation gives 0.438 Bohr magnetons per cell.


3.
Compound: NdEr2Ti
Source: Alexandria via LeMat-Bulk
Functional: PBE
Structure: optimized geometry

Unit cell a=3.362 b=3.362 c=11.940 alpha=81.91 beta=81.91 gamma=60.00
Last column: magnetic moment on the atom in μB.
Atoms (fractional coordinates):
Ti: 0.000 0.000 0.000  1.32
Er: 0.917 0.917 0.248  0.12
Er: 0.083 0.083 0.752  0.12
Nd: 0.500 0.500 0.500  -0.01

Properties
For the density of states at the Fermi level, the calculation gives 5.11 states/eV/cell. As for the calculated formation energy: 0.430 eV/atom. For the total moment, the calculation gives 1.916 Bohr magnetons per cell.


no.,uncorrected energy (eV/cell)
1,-16.2
2,-40.9
3,-20.1